This record from the Alexandria database describes a crystal of MnTe2Au relaxed with PBEsol. The functional is meta-GGA SCAN.

Summary:
Total moment in μB per formula unit: 3.5
Total energy in eV/cell: -487.88
Theoretical density in g/cm³: 8.8

abc: 3.6877 3.6877 24.4367
angles: 90.00 90.00 120.00
Space group R-3m (No. 166, hexagonal axes)
One atom of each set of equivalent atoms:
Mn  0.0000  0.0000  0.0000 x3
Te  0.0000  0.0000  0.3942 x6
Au  0.0000  0.0000  0.5000 x3


This record from the Alexandria database describes a crystal of MgSc relaxed with PBEsol. The functional is meta-GGA SCAN.

Summary:
Total moment in μB per formula unit: 0.0
Formation energy in eV/atom: -0.04
Total energy in eV/cell: -19.30
Theoretical density in g/cm³: 2.5

abc: 3.563 3.563 3.563
angles: 90.00 90.00 90.00
Space group Pm-3m (No. 221)
One atom of each set of equivalent atoms:
Mg  0.000  0.000  0.000 x1
Sc  0.500  0.500  0.500 x1


This record from the Alexandria database describes a crystal of TaIr2W relaxed with PBEsol. The functional is meta-GGA SCAN.

Summary:
Total moment in μB per formula unit: 0.0
Formation energy in eV/atom: -0.41
Total energy in eV/cell: -560.24
Theoretical density in g/cm³: 20.3

abc: 9.194 2.803 4.818
angles: 90.00 99.04 90.00
Space group Cm (No. 8)
One atom of each set of equivalent atoms:
Ta  0.000  0.000  0.000 x2
Ir  0.007  0.500  0.501 x2
Ir  0.253  0.000  0.798 x2
W  0.264  0.500  0.311 x2


This record from the Alexandria database describes a crystal of YCo2Br relaxed with PBEsol. The functional is meta-GGA SCAN.

Summary:
Total moment in μB per formula unit: 4.0
Total energy in eV/cell: -240.65
Theoretical density in g/cm³: 6.7

abc: 3.2848 3.2848 22.9443
angles: 90.00 90.00 120.00
Space group R-3m (No. 166, hexagonal axes)
One atom of each set of equivalent atoms:
Y  0.0000  0.0000  0.0000 x3
Co  0.0000  0.0000  0.2434 x6
Br  0.0000  0.0000  0.5000 x3